## K8AsSe2 (PBE)

Data for K8AsSe2 after structural relaxation.

## Properties
ΔE_f (raw): -7.17 eV/f.u.

a b c (Å): 20.4705 5.5671 7.9244
angles (deg): 90.00 105.37 90.00
With the nearest neighbours (Å) after each atom.
Space group C2/m (No. 12)
Unique sites:
1 K 0.0404 0.0000 0.3119 (multiplicity 4)  2 As 3.36, 1 Se 3.48, 2 K 3.72
2 K 0.0938 0.5000 0.9261 (multiplicity 4)  1 As 3.41
3 K 0.1635 0.5000 0.4459 (multiplicity 4)  3 Se 3.37-3.50, 1 As 3.49, 3 K 3.70-3.72
4 K 0.2107 0.0000 0.8140 (multiplicity 4)  3 Se 3.26-3.41
5 As 0.0000 0.5000 0.5000 (multiplicity 2)  8 K 3.36-3.49
6 Se 0.1967 0.0000 0.2143 (multiplicity 4)  7 K 3.26-3.50


## CsNa2SrPd (PBE)

Data for CsNa2SrPd after structural relaxation.

## Properties
DFT formation energy: -0.186 eV/f.u.

a b c (Å): 6.1215 6.1215 5.7898
angles (deg): 90.00 90.00 90.00
With the nearest neighbours (Å) after each atom.
Space group P4/mmm (No. 123)
Unique sites:
1 Cs 0.0000 0.0000 0.0000 (multiplicity 1)  8 Na 4.21, 4 Sr 4.33
2 Na 0.0000 0.5000 0.5000 (multiplicity 2)  2 Pd 3.06
3 Sr 0.5000 0.5000 0.0000 (multiplicity 1)  2 Pd 2.89
4 Pd 0.5000 0.5000 0.5000 (multiplicity 1)  2 Sr 2.89, 4 Na 3.06


## Ge2BH (PBE)

Data for Ge2BH after structural relaxation.

a b c (Å): 4.9642 4.9642 8.8863
angles (deg): 90.00 90.00 90.00
With the nearest neighbours (Å) after each atom.
Space group I-42d (No. 122)
Unique sites:
1 Ge 0.2483 0.2500 0.1250 (multiplicity 8)  2 B 2.07, 2 H 2.08
2 B 0.0000 0.0000 0.0000 (multiplicity 4)  4 Ge 2.07
3 H 0.0000 0.0000 0.5000 (multiplicity 4)  4 Ge 2.08


Taking the records one at a time from the top gives M_tot values of 0.00, 0.00, 0.00 μB per cell.
Taking the records one at a time from the top gives DFT total energy values of -2.506, -2.110, -4.192 eV/atom.